MoW2Br | PBE | relaxed

Lattice parameters (Å, degrees): 5.4509 5.4509 5.4509 147.55 130.49 60.45
Positions (direct):
Mo (0.0000, 0.0000, 0.0000)
W (0.2584, 0.7584, 0.5000)
W (0.7416, 0.2416, 0.5000)
Br (0.5000, 0.5000, 0.0000)

## Properties
M_tot in μB/atom: 0.000
SG: No. 71
Fermi-level density of states in states/eV/cell: 4.15
Energy above the lowest structure with this stoichiometry in meV per atom: 371
ΔE_f (raw) in eV/atom: 0.90


TeIrBrN2 | PBE | relaxed

Lattice parameters (Å, degrees): 3.7862 3.7862 8.2262 90.00 90.00 90.00
Positions (direct):
Te (0.0000, 0.0000, 0.0000)
Ir (0.5000, 0.5000, 0.0000)
Br (0.0000, 0.0000, 0.5000)
N (0.0000, 0.5000, 0.5000)
N (0.5000, 0.0000, 0.5000)

## Properties
M_tot in μB/atom: 0.153
SG: No. 123
Fermi-level density of states in states/eV/cell: 1.73
Energy above the lowest structure with this stoichiometry in meV per atom: 1401
ΔE_f (raw) in eV/atom: 2.31


YTlIn2 | PBE | relaxed

Lattice parameters (Å, degrees): 3.2839 5.3598 6.1214 90.00 90.01 90.00
Positions (direct):
Y (0.0000, 0.0000, 0.0000)
Tl (0.5000, 0.0000, 0.5000)
In (0.4983, 0.5000, 0.7606)
In (0.5017, 0.5000, 0.2394)

## Properties
M_tot in μB/atom: 0.000
SG: No. 10
Fermi-level density of states in states/eV/cell: 2.31
Energy in eV per cell: -15.08


K3La | PBE | relaxed

Lattice parameters (Å, degrees): 7.5569 7.5569 8.2142 92.85 92.85 28.64
Positions (direct):
K (0.0000, 0.0000, 0.0000)
K (0.2473, 0.2473, 0.7361)
K (0.7527, 0.7527, 0.2639)
La (0.5000, 0.5000, 0.5000)

## Properties
M_tot in μB/atom: 0.000
SG: No. 12
Fermi-level density of states in states/eV/cell: 4.80
Energy in eV per cell: -6.74


LaMnBe2Ru | PBE | relaxed

Lattice parameters (Å, degrees): 4.3224 4.3224 4.4660 90.00 90.00 90.00
Positions (direct):
La (0.0000, 0.0000, 0.0000)
Mn (0.5000, 0.5000, 0.5000)
Be (0.0000, 0.5000, 0.5000)
Be (0.5000, 0.0000, 0.5000)
Ru (0.5000, 0.5000, 0.0000)

## Properties
M_tot in μB/atom: 0.004
SG: No. 123
Fermi-level density of states in states/eV/cell: 3.50
Energy in eV per cell: -29.32


Al2V2Ga | PBE | relaxed

Lattice parameters (Å, degrees): 6.4478 6.4478 3.7462 90.00 90.00 90.00
Positions (direct):
Al (0.1589, 0.3411, 0.0000)
Al (0.3411, 0.8411, 0.0000)
Al (0.6589, 0.1589, 0.0000)
Al (0.8411, 0.6589, 0.0000)
V (0.1360, 0.6360, 0.5000)
V (0.3640, 0.1360, 0.5000)
V (0.6360, 0.8640, 0.5000)
V (0.8640, 0.3640, 0.5000)
Ga (0.0000, 0.0000, 0.5000)
Ga (0.5000, 0.5000, 0.5000)

## Properties
M_tot in μB/atom: 0.000
SG: No. 127
Fermi-level density of states in states/eV/cell: 4.43
Energy above the lowest structure with this stoichiometry in meV per atom: 113


Sm2GeN | PBE | relaxed

Lattice parameters (Å, degrees): 7.5782 7.5782 7.5782 27.85 27.85 27.85
Positions (direct):
Sm (0.2306, 0.2306, 0.2306)
Sm (0.7694, 0.7694, 0.7694)
Ge (0.0000, 0.0000, 0.0000)
N (0.5000, 0.5000, 0.5000)

## Properties
M_tot in μB/atom: 0.000
SG: No. 166
Fermi-level density of states in states/eV/cell: 1.22
ΔE_f (raw) in eV/atom: -1.04


CdIn2RhI | PBE | relaxed

Lattice parameters (Å, degrees): 5.2458 5.2458 5.3245 90.00 90.00 90.00
Positions (direct):
Cd (0.0000, 0.0000, 0.0000)
In (0.0000, 0.5000, 0.5000)
In (0.5000, 0.0000, 0.5000)
Rh (0.0000, 0.0000, 0.5000)
I (0.5000, 0.5000, 0.0000)

## Properties
M_tot in μB/atom: 0.000
SG: No. 123
Fermi-level density of states in states/eV/cell: 1.09
ΔE_f (raw) in eV/atom: -0.21


SiBi2I | PBE | relaxed

Lattice parameters (Å, degrees): 7.5972 7.5972 7.5972 119.08 119.08 91.61
Positions (direct):
Si (0.0000, 0.0000, 0.0000)
Si (0.7500, 0.2500, 0.5000)
Bi (0.0635, 0.6250, 0.9385)
Bi (0.3750, 0.3135, 0.4385)
Bi (0.6865, 0.1250, 0.0615)
Bi (0.8750, 0.9365, 0.5615)
I (0.2500, 0.7500, 0.5000)
I (0.5000, 0.5000, 0.0000)

## Properties
M_tot in μB/atom: 0.000
SG: No. 122
Fermi-level density of states in states/eV/cell: 6.68
Energy above the lowest structure with this stoichiometry in meV per atom: 0
ΔE_f (raw) in eV/atom: 0.35


Re3Mo2W6 | PBE | relaxed

Lattice parameters (Å, degrees): 6.6908 6.6908 6.6908 138.63 99.56 94.78
Positions (direct):
Re (0.0000, 0.0000, 0.0000)
Re (0.1890, 0.5000, 0.6890)
Re (0.8110, 0.5000, 0.3110)
Mo (0.5000, 0.2507, 0.7507)
Mo (0.5000, 0.7493, 0.2493)
W (0.0663, 0.2368, 0.8295)
W (0.2223, 0.7223, 0.5000)
W (0.4073, 0.2368, 0.1705)
W (0.5927, 0.7632, 0.8295)
W (0.7777, 0.2777, 0.5000)
W (0.9337, 0.7632, 0.1705)

## Properties
M_tot in μB/atom: 0.000
SG: No. 71
Fermi-level density of states in states/eV/cell: 7.82
Energy in eV per cell: -131.48


Er3Cu2Ni | PBE | relaxed

Lattice parameters (Å, degrees): 11.1870 4.2665 10.4936 90.00 90.00 90.00
Positions (direct):
Er (0.0515, 0.2500, 0.1249)
Er (0.1119, 0.7500, 0.5619)
Er (0.2260, 0.2500, 0.7981)
Er (0.2740, 0.7500, 0.2981)
Er (0.3881, 0.2500, 0.0619)
Er (0.4485, 0.7500, 0.6249)
Er (0.5515, 0.2500, 0.3751)
Er (0.6119, 0.7500, 0.9381)
Er (0.7260, 0.2500, 0.7019)
Er (0.7740, 0.7500, 0.2019)
Er (0.8881, 0.2500, 0.4381)
Er (0.9485, 0.7500, 0.8751)
Cu (0.0162, 0.7500, 0.3063)
Cu (0.1978, 0.7500, 0.0085)
Cu (0.3022, 0.2500, 0.5085)
Cu (0.4838, 0.2500, 0.8063)
Cu (0.5162, 0.7500, 0.1937)
Cu (0.6978, 0.7500, 0.4915)
Cu (0.8022, 0.2500, 0.9915)
Cu (0.9838, 0.2500, 0.6937)
Ni (0.1259, 0.2500, 0.3731)
Ni (0.3741, 0.7500, 0.8731)
Ni (0.6259, 0.2500, 0.1269)
Ni (0.8741, 0.7500, 0.6269)

## Properties
M_tot in μB/atom: 0.000
SG: No. 62
Fermi-level density of states in states/eV/cell: 19.96
Energy above the lowest structure with this stoichiometry in meV per atom: 31


PmNpNi4 | PBE | relaxed

Lattice parameters (Å, degrees): 5.0893 5.0893 5.0893 60.00 60.00 60.00
Positions (direct):
Pm (0.0000, 0.0000, 0.0000)
Np (0.7500, 0.7500, 0.7500)
Ni (0.3762, 0.3762, 0.3762)
Ni (0.3762, 0.3762, 0.8715)
Ni (0.3762, 0.8715, 0.3762)
Ni (0.8715, 0.3762, 0.3762)

## Properties
M_tot in μB/atom: 0.641
SG: No. 216
Fermi-level density of states in states/eV/cell: 12.84
Energy in eV per cell: -41.81


ScInSb2I | PBE | relaxed

Lattice parameters (Å, degrees): 5.5469 5.5469 5.8005 90.00 90.00 90.00
Positions (direct):
Sc (0.0000, 0.0000, 0.0000)
In (0.5000, 0.5000, 0.5000)
Sb (0.0000, 0.5000, 0.5000)
Sb (0.5000, 0.0000, 0.5000)
I (0.5000, 0.5000, 0.0000)

## Properties
M_tot in μB/atom: 0.001
SG: No. 123
Fermi-level density of states in states/eV/cell: 3.67
Energy above the lowest structure with this stoichiometry in meV per atom: 604
ΔE_f (raw) in eV/atom: 0.51


LiNiRu4 | PBE | relaxed

Lattice parameters (Å, degrees): 5.0524 5.0524 5.0524 60.00 60.00 60.00
Positions (direct):
Li (0.0000, 0.0000, 0.0000)
Ni (0.7500, 0.7500, 0.7500)
Ru (0.3752, 0.3752, 0.3752)
Ru (0.3752, 0.3752, 0.8745)
Ru (0.3752, 0.8745, 0.3752)
Ru (0.8745, 0.3752, 0.3752)

## Properties
M_tot in μB/atom: 0.470
SG: No. 216
Fermi-level density of states in states/eV/cell: 10.72
Energy in eV per cell: -40.97


CdRe2W | PBE | relaxed

Lattice parameters (Å, degrees): 2.8480 2.8480 8.1873 90.00 90.00 90.00
Positions (direct):
Cd (0.0000, 0.0000, 0.0000)
Re (0.5000, 0.5000, 0.2711)
Re (0.5000, 0.5000, 0.7289)
W (0.0000, 0.0000, 0.5000)

## Properties
M_tot in μB/atom: 0.000
SG: No. 123
Fermi-level density of states in states/eV/cell: 2.93
Energy in eV per cell: -36.83


HoTmPa | PBE | relaxed

Lattice parameters (Å, degrees): 3.4023 3.4023 8.4540 90.00 90.00 120.00
Positions (direct):
Ho (0.0000, 0.0000, 0.0000)
Tm (0.3333, 0.6667, 0.6425)
Pa (0.6667, 0.3333, 0.3225)

## Properties
M_tot in μB/atom: 0.000
SG: No. 156
Fermi-level density of states in states/eV/cell: 4.22
Energy above the lowest structure with this stoichiometry in meV per atom: 0


CaCo3Br | PBE | relaxed

Lattice parameters (Å, degrees): 4.8355 4.8355 4.8355 90.00 90.00 90.00
Positions (direct):
Ca (0.0000, 0.0000, 0.0000)
Co (0.0000, 0.0000, 0.5000)
Co (0.0000, 0.5000, 0.0000)
Co (0.5000, 0.0000, 0.0000)
Br (0.5000, 0.5000, 0.5000)

## Properties
M_tot in μB/atom: 0.849
SG: No. 221
Fermi-level density of states in states/eV/cell: 12.19
Energy above the lowest structure with this stoichiometry in meV per atom: 1140
ΔE_f (raw) in eV/atom: 1.87


Ru2SeO | PBE | relaxed

Lattice parameters (Å, degrees): 4.1461 4.1461 4.1461 60.00 60.00 60.00
Positions (direct):
Ru (0.2500, 0.2500, 0.2500)
Ru (0.7500, 0.7500, 0.7500)
Se (0.0000, 0.0000, 0.0000)
O (0.5000, 0.5000, 0.5000)

## Properties
M_tot in μB/atom: 0.000
SG: No. 225
Fermi-level density of states in states/eV/cell: 2.04
Energy above the lowest structure with this stoichiometry in meV per atom: 248
ΔE_f (raw) in eV/atom: 0.24


TlVIn2Re | PBE | relaxed

Lattice parameters (Å, degrees): 5.3518 5.3518 4.4452 90.00 90.00 90.00
Positions (direct):
Tl (0.0000, 0.0000, 0.0000)
V (0.5000, 0.5000, 0.5000)
In (0.0000, 0.5000, 0.5000)
In (0.5000, 0.0000, 0.5000)
Re (0.5000, 0.5000, 0.0000)

## Properties
M_tot in μB/atom: 0.080
SG: No. 123
Fermi-level density of states in states/eV/cell: 4.09
Energy in eV per cell: -24.91


Ti2Co2Hg | PBE | relaxed

Lattice parameters (Å, degrees): 6.8944 6.8944 6.8944 150.09 150.09 42.81
Positions (direct):
Ti (0.1271, 0.1271, 0.0000)
Ti (0.8729, 0.8729, 0.0000)
Co (0.2500, 0.7500, 0.5000)
Co (0.7500, 0.2500, 0.5000)
Hg (0.5000, 0.5000, 0.0000)

## Properties
M_tot in μB/atom: 0.000
SG: No. 139
Fermi-level density of states in states/eV/cell: 3.62
Energy above the lowest structure with this stoichiometry in meV per atom: 86


La3NF | PBE | relaxed

Lattice parameters (Å, degrees): 5.0209 5.0209 5.0209 90.00 90.00 90.00
Positions (direct):
La (0.0000, 0.0000, 0.5000)
La (0.0000, 0.5000, 0.0000)
La (0.5000, 0.0000, 0.0000)
N (0.0000, 0.0000, 0.0000)
F (0.5000, 0.5000, 0.5000)

## Properties
M_tot in μB/atom: 0.000
SG: No. 221
Fermi-level density of states in states/eV/cell: 6.84
Energy above the lowest structure with this stoichiometry in meV per atom: 402
ΔE_f (raw) in eV/atom: -0.88


BSb2RhI | PBE | relaxed

Lattice parameters (Å, degrees): 5.0607 5.0607 5.7319 90.00 90.00 90.00
Positions (direct):
B (0.0000, 0.0000, 0.0000)
Sb (0.0000, 0.5000, 0.5000)
Sb (0.5000, 0.0000, 0.5000)
Rh (0.5000, 0.5000, 0.5000)
I (0.5000, 0.5000, 0.0000)

## Properties
M_tot in μB/atom: 0.000
SG: No. 123
Fermi-level density of states in states/eV/cell: 4.55
Energy above the lowest structure with this stoichiometry in meV per atom: 142
ΔE_f (raw) in eV/atom: 1.18


ZrBAs2Br | PBE | relaxed

Lattice parameters (Å, degrees): 5.2571 5.2571 4.6185 90.00 90.00 90.00
Positions (direct):
Zr (0.0000, 0.0000, 0.0000)
B (0.0000, 0.0000, 0.5000)
As (0.0000, 0.5000, 0.0000)
As (0.5000, 0.0000, 0.0000)
Br (0.5000, 0.5000, 0.5000)

## Properties
M_tot in μB/atom: 0.000
SG: No. 123
Fermi-level density of states in states/eV/cell: 6.12
Energy above the lowest structure with this stoichiometry in meV per atom: 283
ΔE_f (raw) in eV/atom: 0.77


Nd3YHo2 | PBE | relaxed

Lattice parameters (Å, degrees): 6.8620 6.8620 17.7698 102.09 102.09 30.06
Positions (direct):
Nd (0.0680, 0.0680, 0.1670)
Nd (0.2672, 0.2672, 0.6630)
Nd (0.3723, 0.3723, 0.0102)
Nd (0.6277, 0.6277, 0.9898)
Nd (0.7328, 0.7328, 0.3370)
Nd (0.9320, 0.9320, 0.8330)
Y (0.4592, 0.4592, 0.3187)
Y (0.5408, 0.5408, 0.6813)
Ho (0.1972, 0.1972, 0.8345)
Ho (0.3671, 0.3671, 0.4987)
Ho (0.6329, 0.6329, 0.5013)
Ho (0.8028, 0.8028, 0.1655)

## Properties
M_tot in μB/atom: 0.000
SG: No. 12
Fermi-level density of states in states/eV/cell: 19.64
Energy above the lowest structure with this stoichiometry in meV per atom: 32


Si2AgHg | PBE | relaxed

Lattice parameters (Å, degrees): 2.7757 3.5616 7.7479 90.00 90.00 90.00
Positions (direct):
Si (0.0000, 0.0000, 0.0000)
Si (0.0000, 0.5000, 0.2172)
Ag (0.5000, 0.5000, 0.7865)
Hg (0.0000, 0.0000, 0.5045)

## Properties
M_tot in μB/atom: 0.000
SG: No. 25
Fermi-level density of states in states/eV/cell: 1.66
ΔE_f (raw) in eV/atom: 0.35


Pm2Sm5Y2 | PBE | relaxed

Lattice parameters (Å, degrees): 3.6165 6.2513 14.0455 90.09 97.22 106.74
Positions (direct):
Pm (0.0008, 0.3325, 0.1673)
Pm (0.9992, 0.6675, 0.8327)
Sm (0.0000, 0.0000, 0.5000)
Sm (0.3320, 0.8874, 0.2791)
Sm (0.3338, 0.2223, 0.9440)
Sm (0.6662, 0.7777, 0.0560)
Sm (0.6680, 0.1126, 0.7209)
Y (0.3331, 0.5562, 0.6101)
Y (0.6669, 0.4438, 0.3899)

## Properties
M_tot in μB/atom: 0.000
SG: No. 2
Fermi-level density of states in states/eV/cell: 12.64
Energy above the lowest structure with this stoichiometry in meV per atom: 0